(1)
## Lu2AlOs (PBE)

Data for a relaxed Lu2AlOs crystal.

Unit cell a=4.833 b=4.833 c=4.833 alpha=60.00 beta=60.00 gamma=60.00
Fractional positions:
Lu (0.250, 0.250, 0.250)
Lu (0.750, 0.750, 0.750)
Al (0.000, 0.000, 0.000)
Os (0.500, 0.500, 0.500)

density of states at the Fermi level	0.69	states/eV per atom
ΔE to the lowest computed polymorph	56	meV/atom
volume	19.95	Å³ per atom
size of the total moment	0.000	μB per cell
symmetry	No. 225

***

(2)
## PrN2 (PBE)

Data for a relaxed PrN2 crystal.

Unit cell a=6.692 b=6.692 c=6.280 alpha=114.60 beta=114.60 gamma=42.72
Fractional positions:
Pr (0.000, 0.000, 0.000)
Pr (0.596, 0.596, 0.647)
Pr (0.817, 0.817, 0.401)
N (0.023, 0.023, 0.658)
N (0.254, 0.254, 0.224)
N (0.361, 0.361, 0.318)
N (0.568, 0.568, 0.220)
N (0.576, 0.576, 0.029)
N (0.799, 0.799, 0.744)

density of states at the Fermi level	0.40	states/eV per atom
calculated total energy	-7.689	eV/atom
volume	18.96	Å³ per atom
size of the total moment	0.982	μB per cell
symmetry	No. 8

***

(3)
## KVGaP2 (PBE)

Data for a relaxed KVGaP2 crystal.

Unit cell a=4.634 b=4.634 c=5.815 alpha=90.00 beta=90.00 gamma=90.00
Fractional positions:
K (0.000, 0.000, 0.000)
V (0.000, 0.000, 0.500)
Ga (0.500, 0.500, 0.000)
P (0.000, 0.500, 0.500)
P (0.500, 0.000, 0.500)

density of states at the Fermi level	0.70	states/eV per atom
calculated total energy	-4.445	eV/atom
volume	24.98	Å³ per atom
size of the total moment	1.644	μB per cell
symmetry	No. 123

***

(4)
## KAgMo (PBE)

Data for a relaxed KAgMo crystal.

Unit cell a=2.910 b=2.910 c=8.590 alpha=90.00 beta=90.00 gamma=120.00
Fractional positions:
K (0.000, 0.000, 0.000)
Ag (0.333, 0.667, 0.645)
Mo (0.667, 0.333, 0.363)

density of states at the Fermi level	1.17	states/eV per atom
ΔE to the lowest computed polymorph	329	meV/atom
volume	21.00	Å³ per atom
size of the total moment	0.200	μB per cell
symmetry	No. 156

***

(5)
## Na2CaOsO (PBE)

Data for a relaxed Na2CaOsO crystal.

Unit cell a=6.090 b=6.090 c=4.831 alpha=90.00 beta=90.00 gamma=90.00
Fractional positions:
Na (0.000, 0.500, 0.000)
Na (0.500, 0.000, 0.000)
Ca (0.000, 0.000, 0.000)
Os (0.000, 0.000, 0.500)
O (0.500, 0.500, 0.500)

density of states at the Fermi level	1.55	states/eV per atom
calculated total energy	-2.554	eV/atom
volume	35.84	Å³ per atom
size of the total moment	1.950	μB per cell
symmetry	No. 123

***

(6)
## Tc2HgRu (PBE)

Data for a relaxed Tc2HgRu crystal.

Unit cell a=3.914 b=3.914 c=4.100 alpha=90.00 beta=90.00 gamma=90.00
Fractional positions:
Tc (0.000, 0.500, 0.000)
Tc (0.500, 0.000, 0.000)
Hg (0.000, 0.000, 0.500)
Ru (0.500, 0.500, 0.500)

density of states at the Fermi level	1.50	states/eV per atom
calculated total energy	-6.970	eV/atom
volume	15.70	Å³ per atom
size of the total moment	1.278	μB per cell
symmetry	No. 123